# GdCdBi

A relaxed structure of GdCdBi (PBE, Alexandria).

* calculated density: 9.17 g/cm³
* E_form: -336 meV/atom

abc: 5.7567 5.7567 5.7567
angles: 137.32 137.32 61.95
Last column: nearest neighbours and their distance in Å.
Sites, in units of the cell vectors:
Gd  0.0000  0.0000  0.0000  5 Cd 3.24-3.42, 5 Bi 3.35-3.38
Cd  0.3278  0.3278  0.0000  5 Gd 3.24-3.42, 5 Bi 3.26-3.40
Bi  0.6581  0.6581  0.0000  5 Cd 3.26-3.40, 5 Gd 3.35-3.38

# GdCd2Bi

A relaxed structure of GdCd2Bi (PBE, Alexandria).

* calculated density: 8.26 g/cm³
* E_form: 186 meV/atom

abc: 12.0057 12.0057 12.0057
angles: 16.29 16.29 16.29
Last column: nearest neighbours and their distance in Å.
Sites, in units of the cell vectors:
Gd  0.0000  0.0000  0.0000  2 Cd 3.14, 6 Gd 3.40
Cd  0.0883  0.0883  0.0883  1 Gd 3.14, 6 Cd 3.40, 3 Bi 3.41
Cd  0.9117  0.9117  0.9117  1 Gd 3.14, 6 Cd 3.40, 3 Bi 3.41
Bi  0.5000  0.5000  0.5000  6 Bi 3.40, 6 Cd 3.41

# GdCd2Bi

A relaxed structure of GdCd2Bi (PBE, Alexandria).

* calculated density: 9.31 g/cm³
* E_form: -417 meV/atom

abc: 4.5325 4.5325 5.1316
angles: 90.00 90.00 90.00
Last column: nearest neighbours and their distance in Å.
Sites, in units of the cell vectors:
Gd  0.0000  0.0000  0.0000  4 Bi 3.20, 8 Cd 3.42
Cd  0.0000  0.5000  0.5000  4 Cd 3.20, 4 Gd 3.42, 4 Bi 3.42
Cd  0.5000  0.0000  0.5000  4 Cd 3.20, 4 Gd 3.42, 4 Bi 3.42
Bi  0.5000  0.5000  0.0000  4 Gd 3.20, 8 Cd 3.42

# GdCd4Bi

A relaxed structure of GdCd4Bi (PBE, Alexandria).

* calculated density: 8.84 g/cm³
* E_form: -119 meV/atom

abc: 6.0079 6.0079 6.0079
angles: 60.00 60.00 60.00
Last column: nearest neighbours and their distance in Å.
Sites, in units of the cell vectors:
Gd  0.0000  0.0000  0.0000  12 Cd 3.52, 4 Bi 3.68
Cd  0.3748  0.3748  0.3748  6 Cd 3.00-3.01
Cd  0.3748  0.3748  0.8755  6 Cd 3.00-3.01
Cd  0.3748  0.8755  0.3748  6 Cd 3.00-3.01
Cd  0.8755  0.3748  0.3748  6 Cd 3.00-3.01
Bi  0.7500  0.7500  0.7500  12 Cd 3.52, 4 Gd 3.68